# 1
{"formula": "TmMgZn5Pd2", "functional": "PBE", "state": "optimized geometry", "ef_ev_per_atom": -0.189, "space_group": "No. 123", "lattice_angstrom": [[4.646, 0.000, 0.000], [0.000, 4.646, 0.000], [0.000, 0.000, 7.754]], "species": ["Tm", "Mg", "Zn", "Zn", "Zn", "Zn", "Zn", "Pd", "Pd"], "frac_coords": [[0.000, 0.000, 0.000], [0.000, 0.000, 0.500], [0.000, 0.500, 0.233], [0.000, 0.500, 0.767], [0.500, 0.000, 0.233], [0.500, 0.000, 0.767], [0.500, 0.500, 0.000], [0.500, 0.500, 0.334], [0.500, 0.500, 0.666]]}


# 2
{"formula": "InSe2NCl", "functional": "PBE", "state": "optimized geometry", "polymorph_energy_mev_per_atom": 0, "formation_energy_uncorrected_mev_per_atom": 1018, "space_group": "No. 123", "lattice_angstrom": [[5.657, 0.000, 0.000], [0.000, 5.657, 0.000], [0.000, 0.000, 4.168]], "species": ["In", "Se", "Se", "N", "Cl"], "frac_coords": [[0.000, 0.000, 0.000], [0.000, 0.500, 0.000], [0.500, 0.000, 0.000], [0.000, 0.000, 0.500], [0.500, 0.500, 0.500]]}


# 3
{"formula": "LaTbCdRh", "functional": "PBE", "state": "optimized geometry", "ef_ev_per_atom": -0.457, "space_group": "No. 216", "lattice_angstrom": [[7.357, 0.000, 0.000], [0.000, 7.357, 0.000], [0.000, 0.000, 7.357]], "species": ["La", "La", "La", "La", "Tb", "Tb", "Tb", "Tb", "Cd", "Cd", "Cd", "Cd", "Rh", "Rh", "Rh", "Rh"], "frac_coords": [[0.000, 0.000, 0.000], [0.000, 0.500, 0.500], [0.500, 0.000, 0.500], [0.500, 0.500, 0.000], [0.000, 0.000, 0.500], [0.000, 0.500, 0.000], [0.500, 0.000, 0.000], [0.500, 0.500, 0.500], [0.250, 0.250, 0.250], [0.250, 0.750, 0.750], [0.750, 0.250, 0.750], [0.750, 0.750, 0.250], [0.250, 0.250, 0.750], [0.250, 0.750, 0.250], [0.750, 0.250, 0.250], [0.750, 0.750, 0.750]]}


# 4
{"formula": "YSe2Br", "functional": "PBE", "state": "optimized geometry", "polymorph_energy_mev_per_atom": 133, "formation_energy_uncorrected_mev_per_atom": -1130, "space_group": "No. 123", "lattice_angstrom": [[3.923, 0.000, 0.000], [0.000, 3.923, 0.000], [0.000, 0.000, 6.543]], "species": ["Y", "Se", "Se", "Br"], "frac_coords": [[0.000, 0.000, 0.000], [0.500, 0.500, 0.189], [0.500, 0.500, 0.811], [0.000, 0.000, 0.500]]}


# 5
{"formula": "PrPuBi", "functional": "PBE", "state": "optimized geometry", "ef_ev_per_atom": -0.315, "space_group": "No. 107", "lattice_angstrom": [[4.210, 0.000, 0.000], [0.000, 4.210, 0.000], [0.000, 0.000, 10.305]], "species": ["Pr", "Pr", "Pu", "Pu", "Bi", "Bi"], "frac_coords": [[0.000, 0.000, 0.000], [0.500, 0.500, 0.500], [0.000, 0.000, 0.313], [0.500, 0.500, 0.813], [0.000, 0.000, 0.657], [0.500, 0.500, 0.157]]}


# 6
{"formula": "Ho4Co3Ni", "functional": "PBE", "state": "optimized geometry", "ef_ev_per_atom": -0.278, "space_group": "No. 25", "lattice_angstrom": [[3.865, 0.000, 0.000], [0.000, 3.902, 0.000], [0.000, 0.000, 10.354]], "species": ["Ho", "Ho", "Ho", "Ho", "Co", "Co", "Co", "Ni"], "frac_coords": [[0.000, 0.000, 0.000], [0.000, 0.500, 0.496], [0.500, 0.000, 0.711], [0.500, 0.500, 0.212], [0.000, 0.000, 0.294], [0.500, 0.000, 0.419], [0.500, 0.500, 0.921], [0.000, 0.500, 0.787]]}


| no. | calculated total energy (eV per atom) | calculated volume (Å³/atom) | magnetic moment (μB per atom) |
| --- | --- | --- | --- |
| 1 | -2.72 | 18.6 | 0.00 |
| 2 | -2.96 | 26.7 | 1.01 |
| 3 | -4.91 | 24.9 | 0.00 |
| 4 | -4.91 | 25.2 | 0.00 |
| 5 | -7.98 | 30.4 | 2.24 |
| 6 | -5.95 | 19.5 | 0.00 |